(1)
Ga3SiCl | meta-GGA SCAN | single point on PBEsol structure

The structure in POSCAR format:
```
Ga3SiCl
1.0
4.986 0.000 0.000
0.000 4.986 0.000
0.000 0.000 4.986
Si Ga Cl
1 3 1
Direct
0.500 0.500 0.500 Si
0.000 0.500 0.000 Ga
0.000 0.000 0.500 Ga
0.500 0.000 0.000 Ga
0.000 0.000 0.000 Cl
```

Output
Space group ... Pm-3m
Energy ... -12.589 eV/atom



(2)
TaTl2Cl | meta-GGA SCAN | single point on PBEsol structure

The structure in POSCAR format:
```
TaTl2Cl
1.0
-1.708 -0.560 2.480
4.255 -1.824 2.518
0.455 5.785 -0.270
Tl Cl Ta
2 1 1
Direct
0.969 0.932 0.938 Tl
0.761 0.282 0.523 Tl
0.549 0.511 0.099 Cl
0.220 0.774 0.440 Ta
```

Output
Space group ... Cm
Energy relative to the lowest polymorph listed for this composition ... 40 meV/atom



(3)
PtRhBr2 | meta-GGA SCAN | single point on PBEsol structure

The structure in POSCAR format:
```
PtRhBr2
1.0
-3.033 0.871 3.330
1.202 -0.536 4.395
0.543 3.673 2.694
Rh Br Pt
1 2 1
Direct
0.500 0.500 0.500 Rh
0.250 0.250 0.250 Br
0.750 0.750 0.750 Br
0.000 0.000 0.000 Pt
```

Output
Space group ... Fm-3m
Energy relative to the lowest polymorph listed for this composition ... 508 meV/atom



(4)
Al2TcW | meta-GGA SCAN | single point on PBEsol structure

The structure in POSCAR format:
```
Al2TcW
1.0
-2.152 -0.947 2.077
0.020 -3.847 -1.733
3.199 -1.225 2.756
Tc W Al
1 1 2
Direct
0.500 0.500 0.000 Tc
0.000 0.500 0.500 W
0.000 0.000 0.000 Al
0.500 0.000 0.500 Al
```

Output
DFT formation energy ... -0.1655 eV per atom
Space group ... Pmmm
Energy relative to the lowest polymorph listed for this composition ... 210 meV/atom